GaSn2BiRu: relaxed, PBE.

The energy of formation from the pure elements is 2.60 kcal/mol of atoms. As for the density of states at the Fermi level: 5.3 states/eV/cell.

The space group is P4/mmm (No. 123) and the conventional cell measures 5.2642, 5.2642 and 4.8783 Å, with angles of 90.00, 90.00 and 90.00 degrees. The inequivalent atoms are Ga at (0.0000, 0.0000, 0.0000), Sn at (0.0000, 0.5000, 0.5000), Bi at (0.5000, 0.5000, 0.0000) and Ru at (0.0000, 0.0000, 0.5000).


Mg6MnBi: relaxed, PBE.

The energy of formation from the pure elements is 1.73 kcal/mol of atoms. As for the density of states at the Fermi level: 9.2 states/eV/cell.

The space group is Amm2 (No. 38) and the conventional cell measures 5.0238, 6.4271 and 11.1292 Å, with angles of 90.00, 90.00 and 90.00 degrees. The inequivalent atoms are Mg at (0.0000, 0.0000, 0.0000), Mg at (0.0000, 0.2358, 0.2567), Mg at (0.5000, 0.0000, 0.1646), Mg at (0.5000, 0.2431, 0.4192), Mn at (0.0000, 0.0000, 0.4896) and Bi at (0.5000, 0.0000, 0.6629).


Pm3InTe6: relaxed, PBE.

For the energy relative to the elements, uncorrected, the calculation gives -1144 meV/atom.

The space group is Cmc2_1 (No. 36) and the conventional cell measures 12.3502, 15.2856 and 7.4892 Å, with angles of 90.00, 90.00 and 90.00 degrees. The inequivalent atoms are Pm at (0.0000, 0.0927, 0.0000), Pm at (0.1822, 0.4044, 0.8888), In at (0.0000, 0.2944, 0.3618), Te at (0.0000, 0.2762, 0.7356), Te at (0.0000, 0.4656, 0.1991), Te at (0.1636, 0.0384, 0.6972) and Te at (0.1752, 0.2287, 0.1580).


Ta2MnZn: relaxed, PBE.

The energy of formation from the pure elements is 1.97 kcal/mol of atoms. As for the density of states at the Fermi level: 5.6 states/eV/cell.

The space group is Immm (No. 71) and the conventional cell measures 3.6112, 4.3569 and 7.8371 Å, with angles of 90.00, 90.00 and 90.00 degrees. The inequivalent atoms are Ta at (0.0000, 0.0000, 0.2322), Mn at (0.0000, 0.5000, 0.5000) and Zn at (0.0000, 0.5000, 0.0000).


Zn2CoH2: relaxed, PBE.

As for the density of states at the Fermi level: 4.7 states/eV/cell. For the polymorph energy (0 for the lowest one), the calculation gives 41 meV per atom.

The space group is P4/mbm (No. 127) and the conventional cell measures 5.0406, 5.0406 and 3.7399 Å, with angles of 90.00, 90.00 and 90.00 degrees. The inequivalent atoms are Zn at (0.2084, 0.2916, 0.0000), Co at (0.0000, 0.0000, 0.5000) and H at (0.2357, 0.2643, 0.5000).


Dy2AsS: relaxed, PBE.

For the energy relative to the elements, uncorrected, the calculation gives -1796 meV/atom. As for the density of states at the Fermi level: 2.1 states/eV/cell. For the polymorph energy (0 for the lowest one), the calculation gives 0 meV per atom.

The space group is Pmmn (No. 59, origin choice 2) and the conventional cell measures 4.0228, 5.6849 and 8.0240 Å, with angles of 90.00, 90.00 and 90.00 degrees. The inequivalent atoms are Dy at (0.2500, 0.2500, 0.1237), Dy at (0.2500, 0.2500, 0.6257), As at (0.2500, 0.7500, 0.6281) and S at (0.2500, 0.7500, 0.1225).


Mg3ZrGa: relaxed, PBE.

The energy of formation from the pure elements is 10.67 kcal/mol of atoms. As for the density of states at the Fermi level: 4.0 states/eV/cell. For the polymorph energy (0 for the lowest one), the calculation gives 0 meV per atom.

The space group is Pm-3m (No. 221) and the conventional cell measures 4.9372, 4.9372 and 4.9372 Å, with angles of 90.00, 90.00 and 90.00 degrees. The inequivalent atoms are Mg at (0.0000, 0.0000, 0.5000), Zr at (0.5000, 0.5000, 0.5000) and Ga at (0.0000, 0.0000, 0.0000).


Ca2TaCd: relaxed, PBE.

The energy of formation from the pure elements is 11.06 kcal/mol of atoms. As for the density of states at the Fermi level: 12.2 states/eV/cell.

The space group is R3m (No. 160, hexagonal axes) and the conventional cell measures 3.3109, 3.3109 and 33.3161 Å, with angles of 90.00, 90.00 and 120.00 degrees. The inequivalent atoms are Ca at (0.0000, 0.0000, 0.0000), Ca at (0.0000, 0.0000, 0.2315), Ta at (0.0000, 0.0000, 0.7450) and Cd at (0.0000, 0.0000, 0.4838).